[1]
Compound: BeHg2Sb
Source: Alexandria via LeMat-Bulk
Functional: PBE
Structure: relaxed

## Properties
Density of states at the Fermi level, states/eV/f.u.: 2.4
Distance to the lowest polymorph of the same formula, meV per atom: 144
Size of the total moment, μB per cell: 0.00
ΔE_f (raw), eV/atom: 0.312

abc: 3.2004 5.6020 5.6026
angles: 61.78 90.00 90.00
Closest atoms and distances in Å follow each position.
Positions (direct):
1 Hg 0.0000 0.5500 0.5500  2 Be 2.50
2 Sb 0.5000 0.2500 0.2500  2 Be 2.88, 2 Sb 3.20
3 Be 0.5000 0.7500 0.7500  4 Hg 2.50
4 Hg 0.0000 0.9500 0.9500  2 Be 2.50

---

[2]
Compound: PrMg2Si2
Source: Alexandria via LeMat-Bulk
Functional: PBE
Structure: relaxed

## Properties
Density of states at the Fermi level, states/eV/f.u.: 1.9
Distance to the lowest polymorph of the same formula, meV per atom: 0
Size of the total moment, μB per cell: 0.00
ΔE_f (raw), eV/atom: -0.435

abc: 4.2903 4.2903 6.5250
angles: 70.77 70.77 89.98
Closest atoms and distances in Å follow each position.
Positions (direct):
1 Mg 0.2500 0.7500 0.5000  4 Si 2.73, 4 Mg 3.03
2 Si 0.3965 0.3965 0.2067  1 Si 2.39
3 Si 0.6035 0.6035 0.7933  1 Si 2.39
4 Mg 0.7500 0.2500 0.5000  4 Si 2.73, 4 Mg 3.03
5 Pr 0.0000 0.0000 0.0000  8 Si 3.26, 8 Mg 3.60

---

[3]
Compound: Pm2Zn5Ag
Source: Alexandria via LeMat-Bulk
Functional: PBE
Structure: relaxed

## Properties
Density of states at the Fermi level, states/eV/f.u.: 4.3
Distance to the lowest polymorph of the same formula, meV per atom: 0
Size of the total moment, μB per cell: 0.00
E_form, meV per atom: -311

abc: 4.3767 8.5511 9.0045
angles: 90.00 90.00 104.83
Closest atoms and distances in Å follow each position.
Positions (direct):
1 Pm 0.0000 0.0000 0.5000  10 Zn 3.23-3.58, 4 Ag 3.26
2 Zn 0.6044 0.2088 0.7500  6 Zn 2.57-2.87, 1 Ag 2.60
3 Pm 0.2004 0.4009 0.2500  13 Zn 3.11-3.43, 2 Ag 3.28
4 Ag 0.4472 0.8945 0.7500  3 Zn 2.60-2.65
5 Pm 0.7996 0.5991 0.7500  13 Zn 3.11-3.43, 2 Ag 3.28
6 Zn 0.3468 0.6935 0.9794  4 Zn 2.53-2.77, 1 Ag 2.65
7 Pm 0.0000 0.0000 0.0000  10 Zn 3.23-3.58, 4 Ag 3.26
8 Zn 0.1861 0.3721 0.8924  4 Zn 2.53-2.77
9 Zn 0.3956 0.7912 0.2500  6 Zn 2.57-2.87, 1 Ag 2.60
10 Zn 0.1861 0.3721 0.6076  4 Zn 2.53-2.77
11 Zn 0.3468 0.6935 0.5206  4 Zn 2.53-2.77, 1 Ag 2.65
12 Zn 0.8139 0.6279 0.1076  4 Zn 2.53-2.77
13 Zn 0.8139 0.6279 0.3924  4 Zn 2.53-2.77
14 Zn 0.6532 0.3065 0.4794  4 Zn 2.53-2.77, 1 Ag 2.65
15 Zn 0.6532 0.3065 0.0206  4 Zn 2.53-2.77, 1 Ag 2.65
16 Ag 0.5528 0.1055 0.2500  3 Zn 2.60-2.65

---

[4]
Compound: Pm2HoEr
Source: Alexandria via LeMat-Bulk
Functional: PBE
Structure: relaxed

## Properties
Density of states at the Fermi level, states/eV/f.u.: 5.7
Distance to the lowest polymorph of the same formula, meV per atom: 3
Size of the total moment, μB per cell: 0.00
E_form, meV per atom: 17

abc: 3.6014 3.6014 11.7805
angles: 81.21 81.21 60.00
Closest atoms and distances in Å follow each position.
Positions (direct):
1 Pm 0.2497 0.2497 0.2508  3 Ho 3.57, 3 Er 3.59, 6 Pm 3.60
2 Ho 0.4998 0.4998 0.5005  6 Pm 3.56-3.57, 6 Ho 3.60
3 Pm 0.0834 0.0834 0.7499  3 Er 3.56, 3 Ho 3.56, 6 Pm 3.60
4 Er 0.6671 0.6671 0.9988  6 Pm 3.56-3.59, 6 Er 3.60